# 1
{"formula": "LaHoPt2", "functional": "PBE", "state": "relaxed", "lattice": [[2.047, 1.182, 7.055], [-2.047, 1.182, 7.055], [0.000, -2.364, 7.055]], "species": ["La", "Ho", "Pt", "Pt"], "frac_coords": [[0.000, 0.000, 0.000], [0.172, 0.172, 0.172], [0.582, 0.582, 0.582], [0.757, 0.757, 0.757]], "polymorph_energy_ev_per_atom": 0.1560, "formation_enthalpy_0k_ev_per_atom": -1.075, "total_magnetization_mub_per_fu": 0.00, "dos_ef_per_ev_atom": 0.64}


# 2
{"formula": "LaHo3Pt", "functional": "PBE", "state": "relaxed", "lattice": [[5.484, 0.000, 0.000], [0.000, 5.484, 0.000], [0.000, 0.000, 5.484]], "species": ["La", "Ho", "Ho", "Ho", "Pt"], "frac_coords": [[0.000, 0.000, 0.000], [0.000, 0.500, 0.500], [0.500, 0.000, 0.500], [0.500, 0.500, 0.000], [0.500, 0.500, 0.500]], "polymorph_energy_ev_per_atom": 0.0044, "formation_enthalpy_0k_ev_per_atom": -0.414, "total_magnetization_mub_per_fu": 0.00, "dos_ef_per_ev_atom": 1.63}


# 3
{"formula": "La2Ho2Pt15", "functional": "PBE", "state": "relaxed", "lattice": [[4.696, 2.711, 4.625], [-4.696, 2.711, 4.625], [0.000, -5.423, 4.625]], "species": ["La", "La", "Ho", "Ho", "Pt", "Pt", "Pt", "Pt", "Pt", "Pt", "Pt", "Pt", "Pt", "Pt", "Pt", "Pt", "Pt", "Pt", "Pt"], "frac_coords": [[0.144, 0.144, 0.144], [0.856, 0.856, 0.856], [0.394, 0.394, 0.394], [0.606, 0.606, 0.606], [0.000, 0.500, 0.500], [0.153, 0.153, 0.658], [0.153, 0.658, 0.153], [0.191, 0.500, 0.809], [0.191, 0.809, 0.500], [0.342, 0.847, 0.847], [0.500, 0.000, 0.500], [0.500, 0.191, 0.809], [0.500, 0.500, 0.000], [0.500, 0.809, 0.191], [0.658, 0.153, 0.153], [0.809, 0.191, 0.500], [0.809, 0.500, 0.191], [0.847, 0.342, 0.847], [0.847, 0.847, 0.342]], "formation_enthalpy_0k_ev_per_atom": -0.768, "total_magnetization_mub_per_fu": 0.00, "dos_ef_per_ev_atom": 0.86}


# 4
{"formula": "LaHo2Pt9", "functional": "PBE", "state": "relaxed", "lattice": [[2.721, 1.571, 8.841], [-2.721, 1.571, 8.841], [0.000, -3.142, 8.841]], "species": ["La", "Ho", "Ho", "Pt", "Pt", "Pt", "Pt", "Pt", "Pt", "Pt", "Pt", "Pt"], "frac_coords": [[0.000, 0.000, 0.000], [0.140, 0.140, 0.140], [0.860, 0.860, 0.860], [0.081, 0.589, 0.589], [0.333, 0.333, 0.333], [0.411, 0.411, 0.919], [0.411, 0.919, 0.411], [0.500, 0.500, 0.500], [0.589, 0.081, 0.589], [0.589, 0.589, 0.081], [0.667, 0.667, 0.667], [0.919, 0.411, 0.411]], "formation_enthalpy_0k_ev_per_atom": -0.982, "total_magnetization_mub_per_fu": 0.00, "dos_ef_per_ev_atom": 0.73}


# 5
{"formula": "LaHoPt2", "functional": "PBE", "state": "relaxed", "lattice": [[0.000, 3.578, 3.578], [3.578, 0.000, 3.578], [3.578, 3.578, 0.000]], "species": ["La", "Ho", "Pt", "Pt"], "frac_coords": [[0.000, 0.000, 0.000], [0.500, 0.500, 0.500], [0.250, 0.250, 0.250], [0.750, 0.750, 0.750]], "polymorph_energy_ev_per_atom": 0.1126, "formation_enthalpy_0k_ev_per_atom": -1.119, "total_magnetization_mub_per_fu": 0.00, "dos_ef_per_ev_atom": 0.91}


# 6
{"formula": "LaHoPt2", "functional": "PBE", "state": "relaxed", "lattice": [[3.542, 0.000, 0.000], [0.000, 3.542, 0.000], [0.000, 0.000, 7.239]], "species": ["La", "Ho", "Pt", "Pt"], "frac_coords": [[0.000, 0.000, 0.000], [0.000, 0.000, 0.500], [0.500, 0.500, 0.275], [0.500, 0.500, 0.725]], "polymorph_energy_ev_per_atom": 0.0779, "formation_enthalpy_0k_ev_per_atom": -1.153, "total_magnetization_mub_per_fu": 0.00, "dos_ef_per_ev_atom": 0.73}